Mn2OsPb: relaxed, PBE.

Structure (POSCAR):
```
Mn2OsPb
1.0
-3.6283 3.6283 2.7498
3.6283 -3.6283 2.7498
3.6283 3.6283 -2.7498
Mn Os Pb
4 2 2
Direct
0.0815 0.6250 0.9565
0.3750 0.3315 0.4565
0.6685 0.1250 0.0435
0.8750 0.9185 0.5435
0.0000 0.0000 0.0000
0.7500 0.2500 0.5000
0.2500 0.7500 0.5000
0.5000 0.5000 0.0000
```

Output
Density in Mg/m³: 11.64
Total DFT energy (no corrections) in eV per atom: -7.46
DFT formation energy in eV/atom: 0.86